An optimized crystal structure of Li2PmWO6, computed with PBE with a Hubbard U.

Geometry as CIF:
```
data_Li2PmWO6
_chemical_formula_sum 'Li4 Pm2 W2 O12'
_cell_length_a 5.550
_cell_length_b 5.398
_cell_length_c 9.695
_cell_angle_alpha 90.00
_cell_angle_beta 124.14
_cell_angle_gamma 90.00
_symmetry_space_group_name_H-M 'P 1 21/c 1'
_symmetry_Int_Tables_number 14
_symmetry_space_group_name_Hall '-P 2ybc'
loop_
_atom_site_label
_atom_site_type_symbol
_atom_site_fract_x
_atom_site_fract_y
_atom_site_fract_z
Li1 Li 0.200 0.022 0.238
Pm1 Pm 0.000 0.000 0.500
W1 W 0.500 0.000 0.000
O1 O 0.163 0.084 0.777
O2 O 0.248 0.626 0.561
O3 O 0.466 0.166 0.574
```

Computed properties:
Total moment in μB per atom: 0.10
Energy in eV per formula unit: -67.719
DOS at the Fermi energy in states/eV/cell: 2.46